Density functional theory data (GGA-PBE) for a relaxed structure of InIr2RhS.

Structure (CIF):
```
data_InIr2RhS
_cell_length_a 4.9344
_cell_length_b 4.9344
_cell_length_c 4.7937
_cell_angle_alpha 90.00
_cell_angle_beta 90.00
_cell_angle_gamma 90.00
_symmetry_space_group_name_H-M 'P 1'
_symmetry_Int_Tables_number 1
_symmetry_space_group_name_Hall 'P 1'
loop_
_atom_site_label
_atom_site_type_symbol
_atom_site_fract_x
_atom_site_fract_y
_atom_site_fract_z
In1 In 0.0000 0.0000 0.0000
Ir1 Ir 0.0000 0.5000 0.0000
Ir2 Ir 0.5000 0.0000 0.0000
Rh1 Rh 0.5000 0.5000 0.5000
S1 S 0.0000 0.0000 0.5000
```

Total DFT energy (no corrections)   -4.268 eV per atom
M_tot   4.024 Bohr magnetons per cell
Formation energy (no corrections)   2120 meV per atom

Density functional theory data (GGA-PBE) for a relaxed structure of Sm2InIr2Rh5.

Structure (CIF):
```
data_Sm2InIr2Rh5
_cell_length_a 9.4650
_cell_length_b 9.4650
_cell_length_c 4.0841
_cell_angle_alpha 90.00
_cell_angle_beta 90.00
_cell_angle_gamma 90.00
_symmetry_space_group_name_H-M 'P 1'
_symmetry_Int_Tables_number 1
_symmetry_space_group_name_Hall 'P 1'
loop_
_atom_site_label
_atom_site_type_symbol
_atom_site_fract_x
_atom_site_fract_y
_atom_site_fract_z
Sm1 Sm 0.1675 0.3325 0.0000
Sm2 Sm 0.3325 0.8325 0.0000
Sm3 Sm 0.6675 0.1675 0.0000
Sm4 Sm 0.8325 0.6675 0.0000
In1 In 0.0000 0.0000 0.0000
In2 In 0.5000 0.5000 0.0000
Ir1 Ir 0.1301 0.6301 0.0000
Ir2 Ir 0.3699 0.1301 0.0000
Ir3 Ir 0.6301 0.8699 0.0000
Ir4 Ir 0.8699 0.3699 0.0000
Rh1 Rh 0.0000 0.5000 0.5000
Rh2 Rh 0.0700 0.7939 0.5000
Rh3 Rh 0.2061 0.0700 0.5000
Rh4 Rh 0.2939 0.5700 0.5000
Rh5 Rh 0.4300 0.2939 0.5000
Rh6 Rh 0.5000 0.0000 0.5000
Rh7 Rh 0.5700 0.7061 0.5000
Rh8 Rh 0.7061 0.4300 0.5000
Rh9 Rh 0.7939 0.9300 0.5000
Rh10 Rh 0.9300 0.2061 0.5000
```

Total DFT energy (no corrections)   -7.038 eV per atom
M_tot   0.000 Bohr magnetons per cell
Formation energy from the elements   -0.373 eV/atom

Density functional theory data (GGA-PBE) for a relaxed structure of InSnIrRh.

Structure (CIF):
```
data_InSnIrRh
_cell_length_a 4.6109
_cell_length_b 4.6109
_cell_length_c 4.6109
_cell_angle_alpha 60.00
_cell_angle_beta 60.00
_cell_angle_gamma 60.00
_symmetry_space_group_name_H-M 'P 1'
_symmetry_Int_Tables_number 1
_symmetry_space_group_name_Hall 'P 1'
loop_
_atom_site_label
_atom_site_type_symbol
_atom_site_fract_x
_atom_site_fract_y
_atom_site_fract_z
In1 In 0.0000 0.0000 0.0000
Sn1 Sn 0.5000 0.5000 0.5000
Ir1 Ir 0.7500 0.7500 0.7500
Rh1 Rh 0.2500 0.2500 0.2500
```

Total DFT energy (no corrections)   -5.934 eV per atom
M_tot   0.006 Bohr magnetons per cell
Formation energy from the elements   -0.195 eV/atom

Density functional theory data (GGA-PBE) for a relaxed structure of SrIn3IrRh.

Structure (CIF):
```
data_SrIn3IrRh
_cell_length_a 7.1541
_cell_length_b 7.1541
_cell_length_c 6.2990
_cell_angle_alpha 90.00
_cell_angle_beta 90.00
_cell_angle_gamma 106.89
_symmetry_space_group_name_H-M 'P 1'
_symmetry_Int_Tables_number 1
_symmetry_space_group_name_Hall 'P 1'
loop_
_atom_site_label
_atom_site_type_symbol
_atom_site_fract_x
_atom_site_fract_y
_atom_site_fract_z
Sr1 Sr 0.2148 0.7852 0.7500
Sr2 Sr 0.7852 0.2148 0.2500
In1 In 0.2416 0.2416 0.0000
In2 In 0.2416 0.2416 0.5000
In3 In 0.2911 0.7089 0.2500
In4 In 0.7089 0.2911 0.7500
In5 In 0.7584 0.7584 0.0000
In6 In 0.7584 0.7584 0.5000
Ir1 Ir 0.4846 0.5154 0.7500
Ir2 Ir 0.5154 0.4846 0.2500
Rh1 Rh 0.0674 0.9326 0.2500
Rh2 Rh 0.9326 0.0674 0.7500
```

Total DFT energy (no corrections)   -4.569 eV per atom
M_tot   0.000 Bohr magnetons per cell
Formation energy from the elements   -0.218 eV/atom

Density functional theory data (GGA-PBE) for a relaxed structure of Sr2In6IrRh.

Structure (CIF):
```
data_Sr2In6IrRh
_cell_length_a 7.3426
_cell_length_b 7.3426
_cell_length_c 7.3426
_cell_angle_alpha 60.00
_cell_angle_beta 60.00
_cell_angle_gamma 60.00
_symmetry_space_group_name_H-M 'P 1'
_symmetry_Int_Tables_number 1
_symmetry_space_group_name_Hall 'P 1'
loop_
_atom_site_label
_atom_site_type_symbol
_atom_site_fract_x
_atom_site_fract_y
_atom_site_fract_z
Sr1 Sr 0.2500 0.2500 0.2500
Sr2 Sr 0.7500 0.7500 0.7500
In1 In 0.2489 0.2489 0.7511
In2 In 0.2489 0.7511 0.2489
In3 In 0.2489 0.7511 0.7511
In4 In 0.7511 0.2489 0.2489
In5 In 0.7511 0.2489 0.7511
In6 In 0.7511 0.7511 0.2489
Ir1 Ir 0.5000 0.5000 0.5000
Rh1 Rh 0.0000 0.0000 0.0000
```

Total DFT energy (no corrections)   -3.880 eV per atom
M_tot   0.000 Bohr magnetons per cell
Formation energy from the elements   -0.279 eV/atom

Density functional theory data (GGA-PBE) for a relaxed structure of Tb5In2Ir2Rh.

Structure (CIF):
```
data_Tb5In2Ir2Rh
_cell_length_a 11.6613
_cell_length_b 11.6613
_cell_length_c 3.5895
_cell_angle_alpha 90.00
_cell_angle_beta 90.00
_cell_angle_gamma 90.00
_symmetry_space_group_name_H-M 'P 1'
_symmetry_Int_Tables_number 1
_symmetry_space_group_name_Hall 'P 1'
loop_
_atom_site_label
_atom_site_type_symbol
_atom_site_fract_x
_atom_site_fract_y
_atom_site_fract_z
Tb1 Tb 0.0000 0.5000 0.0000
Tb2 Tb 0.0674 0.1954 0.0000
Tb3 Tb 0.1954 0.9326 0.0000
Tb4 Tb 0.3046 0.4326 0.0000
Tb5 Tb 0.4326 0.6954 0.0000
Tb6 Tb 0.5000 0.0000 0.0000
Tb7 Tb 0.5674 0.3046 0.0000
Tb8 Tb 0.6954 0.5674 0.0000
Tb9 Tb 0.8046 0.0674 0.0000
Tb10 Tb 0.9326 0.8046 0.0000
In1 In 0.1779 0.6779 0.5000
In2 In 0.3221 0.1779 0.5000
In3 In 0.6779 0.8221 0.5000
In4 In 0.8221 0.3221 0.5000
Ir1 Ir 0.1369 0.3631 0.5000
Ir2 Ir 0.3631 0.8631 0.5000
Ir3 Ir 0.6369 0.1369 0.5000
Ir4 Ir 0.8631 0.6369 0.5000
Rh1 Rh 0.0000 0.0000 0.5000
Rh2 Rh 0.5000 0.5000 0.5000
```

Total DFT energy (no corrections)   -6.012 eV per atom
M_tot   0.000 Bohr magnetons per cell
Formation energy from the elements   -0.642 eV/atom

Density functional theory data (GGA-PBE) for a relaxed structure of ThInIrRh.

Structure (CIF):
```
data_ThInIrRh
_cell_length_a 4.8621
_cell_length_b 4.8621
_cell_length_c 4.8621
_cell_angle_alpha 60.00
_cell_angle_beta 60.00
_cell_angle_gamma 60.00
_symmetry_space_group_name_H-M 'P 1'
_symmetry_Int_Tables_number 1
_symmetry_space_group_name_Hall 'P 1'
loop_
_atom_site_label
_atom_site_type_symbol
_atom_site_fract_x
_atom_site_fract_y
_atom_site_fract_z
Th1 Th 0.0000 0.0000 0.0000
In1 In 0.5000 0.5000 0.5000
Ir1 Ir 0.7500 0.7500 0.7500
Rh1 Rh 0.2500 0.2500 0.2500
```

Total DFT energy (no corrections)   -7.189 eV per atom
M_tot   0.000 Bohr magnetons per cell
Formation energy from the elements   -0.596 eV/atom

Density functional theory data (GGA-PBE) for a relaxed structure of TmInIrRh.

Structure (CIF):
```
data_TmInIrRh
_cell_length_a 4.6712
_cell_length_b 4.6712
_cell_length_c 4.6712
_cell_angle_alpha 60.00
_cell_angle_beta 60.00
_cell_angle_gamma 60.00
_symmetry_space_group_name_H-M 'P 1'
_symmetry_Int_Tables_number 1
_symmetry_space_group_name_Hall 'P 1'
loop_
_atom_site_label
_atom_site_type_symbol
_atom_site_fract_x
_atom_site_fract_y
_atom_site_fract_z
Tm1 Tm 0.0000 0.0000 0.0000
In1 In 0.5000 0.5000 0.5000
Ir1 Ir 0.7500 0.7500 0.7500
Rh1 Rh 0.2500 0.2500 0.2500
```

Total DFT energy (no corrections)   -6.546 eV per atom
M_tot   0.000 Bohr magnetons per cell
Formation energy from the elements   -0.690 eV/atom

Density functional theory data (GGA-PBE) for a relaxed structure of TmInIrRh.

Structure (CIF):
```
data_TmInIrRh
_cell_length_a 3.5633
_cell_length_b 4.4773
_cell_length_c 4.4929
_cell_angle_alpha 90.00
_cell_angle_beta 90.00
_cell_angle_gamma 90.00
_symmetry_space_group_name_H-M 'P 1'
_symmetry_Int_Tables_number 1
_symmetry_space_group_name_Hall 'P 1'
loop_
_atom_site_label
_atom_site_type_symbol
_atom_site_fract_x
_atom_site_fract_y
_atom_site_fract_z
Tm1 Tm 0.0000 0.0000 0.0000
In1 In 0.0000 0.5000 0.5000
Ir1 Ir 0.5000 0.5000 0.0000
Rh1 Rh 0.5000 0.0000 0.5000
```

Total DFT energy (no corrections)   -6.561 eV per atom
M_tot   0.000 Bohr magnetons per cell
Formation energy from the elements   -0.706 eV/atom

Density functional theory data (GGA-PBE) for a relaxed structure of VInIr2Rh.

Structure (CIF):
```
data_VInIr2Rh
_cell_length_a 4.8426
_cell_length_b 4.8426
_cell_length_c 4.4037
_cell_angle_alpha 90.00
_cell_angle_beta 90.00
_cell_angle_gamma 90.00
_symmetry_space_group_name_H-M 'P 1'
_symmetry_Int_Tables_number 1
_symmetry_space_group_name_Hall 'P 1'
loop_
_atom_site_label
_atom_site_type_symbol
_atom_site_fract_x
_atom_site_fract_y
_atom_site_fract_z
V1 V 0.0000 0.0000 0.0000
In1 In 0.5000 0.5000 0.0000
Ir1 Ir 0.0000 0.5000 0.5000
Ir2 Ir 0.5000 0.0000 0.5000
Rh1 Rh 0.0000 0.0000 0.5000
```

Total DFT energy (no corrections)   -6.175 eV per atom
M_tot   1.869 Bohr magnetons per cell
Formation energy from the elements   1.211 eV/atom

Density functional theory data (GGA-PBE) for a relaxed structure of ZrInIrRh.

Structure (CIF):
```
data_ZrInIrRh
_cell_length_a 4.6261
_cell_length_b 4.6261
_cell_length_c 4.6261
_cell_angle_alpha 60.00
_cell_angle_beta 60.00
_cell_angle_gamma 60.00
_symmetry_space_group_name_H-M 'P 1'
_symmetry_Int_Tables_number 1
_symmetry_space_group_name_Hall 'P 1'
loop_
_atom_site_label
_atom_site_type_symbol
_atom_site_fract_x
_atom_site_fract_y
_atom_site_fract_z
Zr1 Zr 0.0000 0.0000 0.0000
In1 In 0.5000 0.5000 0.5000
Ir1 Ir 0.2500 0.2500 0.2500
Rh1 Rh 0.7500 0.7500 0.7500
```

Total DFT energy (no corrections)   -7.525 eV per atom
M_tot   0.000 Bohr magnetons per cell
Formation energy from the elements   -0.650 eV/atom

Density functional theory data (GGA-PBE) for a relaxed structure of ZrInIrRh.

Structure (CIF):
```
data_ZrInIrRh
_cell_length_a 4.7590
_cell_length_b 4.7590
_cell_length_c 4.7590
_cell_angle_alpha 125.04
_cell_angle_beta 125.04
_cell_angle_gamma 81.48
_symmetry_space_group_name_H-M 'P 1'
_symmetry_Int_Tables_number 1
_symmetry_space_group_name_Hall 'P 1'
loop_
_atom_site_label
_atom_site_type_symbol
_atom_site_fract_x
_atom_site_fract_y
_atom_site_fract_z
Zr1 Zr 0.0000 0.0000 0.0000
In1 In 0.5000 0.5000 0.0000
Ir1 Ir 0.2500 0.7500 0.5000
Rh1 Rh 0.7500 0.2500 0.5000
```

Total DFT energy (no corrections)   -7.560 eV per atom
M_tot   0.000 Bohr magnetons per cell
Formation energy from the elements   -0.685 eV/atom

Density functional theory data (GGA-PBE) for a relaxed structure of InIr2Ru.

Structure (CIF):
```
data_InIr2Ru
_cell_length_a 2.8378
_cell_length_b 2.8378
_cell_length_c 7.7989
_cell_angle_alpha 90.00
_cell_angle_beta 90.00
_cell_angle_gamma 90.00
_symmetry_space_group_name_H-M 'P 1'
_symmetry_Int_Tables_number 1
_symmetry_space_group_name_Hall 'P 1'
loop_
_atom_site_label
_atom_site_type_symbol
_atom_site_fract_x
_atom_site_fract_y
_atom_site_fract_z
In1 In 0.0000 0.0000 0.0000
Ir1 Ir 0.0000 0.0000 0.5077
Ir2 Ir 0.5000 0.5000 0.2667
Ru1 Ru 0.5000 0.5000 0.7326
```

Total DFT energy (no corrections)   -7.336 eV per atom
M_tot   0.000 Bohr magnetons per cell
Formation energy from the elements   0.098 eV/atom